Run w
## LaMg3C (GGA-PBE)

Data for a geometry-optimized LaMg3C structure.

Cell and atoms, written as extended XYZ:
```
5
Lattice="6.4578 0.0000 0.0000 0.0000 6.4578 0.0000 0.0000 0.0000 6.4578" Properties=species:S:1:pos:R:3 pbc="T T T"
Mg 0.0000 3.2289 0.0000
Mg 0.0000 0.0000 3.2289
Mg 3.2289 0.0000 0.0000
C 3.2289 3.2289 3.2289
La 0.0000 0.0000 0.0000
```

Calculated values
- ρ (g cm⁻³) = 1.38
- V (Å³/atom) = 53.9

---

Run x
## LaMg3C (GGA-PBE)

Data for a geometry-optimized LaMg3C structure.

Cell and atoms, written as extended XYZ:
```
5
Lattice="-0.5193 4.4786 -1.4487 0.0524 -1.4519 -4.5072 -4.7067 -0.5103 0.1096" Properties=species:S:1:pos:R:3 pbc="T T T"
Mg 0.0262 -0.7259 -2.2536
Mg -2.3534 -0.2552 0.0548
Mg -0.2597 2.2393 -0.7243
C 0.0000 0.0000 0.0000
La -2.5868 1.2582 -2.9231
```

Calculated values
- ρ (g cm⁻³) = 3.50
- V (Å³/atom) = 21.2

---

Of them, the most stable is run x and the least stable is run w.

---

Run w
## LaMn3C (GGA-PBE)

Data for a geometry-optimized LaMn3C structure.

Cell and atoms, written as extended XYZ:
```
5
Lattice="4.4446 0.0000 0.0000 0.0000 4.4446 0.0000 0.0000 0.0000 4.4446" Properties=species:S:1:pos:R:3 pbc="T T T"
C 2.2223 2.2223 2.2223
Mn 0.0000 2.2223 0.0000
Mn 0.0000 0.0000 2.2223
Mn 2.2223 0.0000 0.0000
La 0.0000 0.0000 0.0000
```

Calculated values
- ρ (g cm⁻³) = 5.97
- V (Å³/atom) = 17.6

---

Run x
## LaMn3C (GGA-PBE)

Data for a geometry-optimized LaMn3C structure.

Cell and atoms, written as extended XYZ:
```
5
Lattice="4.1035 0.0000 0.0000 0.0000 4.1035 0.0000 0.0000 0.0000 4.1035" Properties=species:S:1:pos:R:3 pbc="T T T"
C 0.0000 0.0000 0.0000
Mn 0.0000 2.0517 0.0000
Mn 0.0000 0.0000 2.0517
Mn 2.0517 0.0000 0.0000
La 2.0517 2.0517 2.0517
```

Calculated values
- ρ (g cm⁻³) = 7.59
- V (Å³/atom) = 13.8

---

Of them, the most stable is run x and the least stable is run w.

---

Run w
## LaMnC (GGA-PBE)

Data for a geometry-optimized LaMnC structure.

Cell and atoms, written as extended XYZ:
```
6
Lattice="3.4034 0.0000 0.0000 0.0000 3.4034 0.0000 0.0000 0.0000 8.9830" Properties=species:S:1:pos:R:3 pbc="T T T"
La 1.7017 0.0000 1.9152
La 0.0000 1.7017 7.0678
Mn 1.7017 1.7017 4.4915
Mn 0.0000 0.0000 4.4915
C 1.7017 0.0000 5.5834
C 0.0000 1.7017 3.3996
```

Calculated values
- ρ (g cm⁻³) = 6.57
- V (Å³/atom) = 17.3

---

Run x
## LaMnC (GGA-PBE)

Data for a geometry-optimized LaMnC structure.

Cell and atoms, written as extended XYZ:
```
12
Lattice="3.7543 0.0000 0.0000 0.0000 5.8658 0.0000 0.0000 0.0000 9.4092" Properties=species:S:1:pos:R:3 pbc="T T T"
La 0.9386 0.3326 6.3293
La 0.9386 2.6003 1.6248
La 2.8157 5.5333 3.0798
La 2.8157 3.2655 7.7844
Mn 0.9386 3.5955 5.0303
Mn 0.9386 5.2033 0.3258
Mn 2.8157 2.2704 4.3788
Mn 2.8157 0.6625 9.0834
C 0.9386 1.0702 8.8759
C 0.9386 1.8627 4.1713
C 2.8157 4.7956 0.5333
C 2.8157 4.0031 5.2378
```

Calculated values
- ρ (g cm⁻³) = 6.60
- V (Å³/atom) = 17.3

---

Of them, the most stable is run w and the least stable is run x.

---

Run w
## LaMoC2 (GGA-PBE)

Data for a geometry-optimized LaMoC2 structure.

Cell and atoms, written as extended XYZ:
```
4
Lattice="1.3177 -0.2794 4.0439 -1.6295 -2.9836 2.5711 2.4059 -3.2946 1.2347" Properties=species:S:1:pos:R:3 pbc="T T T"
Mo 0.0000 0.0000 0.0000
C 0.5235 -1.6394 1.9624
C 1.5706 -4.9182 5.8873
La 1.0471 -3.2788 3.9249
```

Calculated values
- ρ (g cm⁻³) = 7.85
- V (Å³/atom) = 13.7

---

Run x
## LaMoC2 (GGA-PBE)

Data for a geometry-optimized LaMoC2 structure.

Cell and atoms, written as extended XYZ:
```
8
Lattice="-2.1388 1.0814 4.6518 4.5273 -1.1639 2.3521 2.6929 4.8724 3.0487" Properties=species:S:1:pos:R:3 pbc="T T T"
Mo 1.1943 -0.0412 3.5019
Mo 4.2073 1.8337 4.4514
C 0.1136 1.6418 3.5043
C 3.0243 0.7326 3.2729
C 3.3623 3.5085 5.1452
C 3.6627 3.6971 8.1827
La 0.0000 0.0000 0.0000
La 0.8742 2.9563 5.6012
```

Calculated values
- ρ (g cm⁻³) = 6.09
- V (Å³/atom) = 17.7

---

Run y
## LaMoC2 (GGA-PBE)

Data for a geometry-optimized LaMoC2 structure.

Cell and atoms, written as extended XYZ:
```
4
Lattice="3.2788 0.0000 0.0000 1.6394 2.8396 0.0000 1.6394 0.9465 5.9470" Properties=species:S:1:pos:R:3 pbc="T T T"
Mo 0.0000 0.0000 0.0000
C 1.6394 0.9465 1.1655
C 4.9183 2.8396 4.7815
La 3.2788 1.8930 2.9735
```

Calculated values
- ρ (g cm⁻³) = 7.76
- V (Å³/atom) = 13.8

---

Of them, the most stable is run y and the least stable is run w.